Density functional theory data (PBE-GGA) for crystalline LaYRu2 at its relaxed geometry.

abc: 4.917 4.917 3.489
angles: 90.00 90.00 90.00
Fractional coordinates of all 4 atoms:
La (0.000, 0.000, 0.000)
Y (0.500, 0.500, 0.000)
Ru (0.000, 0.500, 0.500)
Ru (0.500, 0.000, 0.500)

- Symmetry: P4/mmm
- Energy of formation: -0.17 eV per atom

***

Density functional theory data (PBE-GGA) for crystalline TbPm2PuO8 at its relaxed geometry.

abc: 3.985 5.527 7.540
angles: 88.59 89.60 84.08
Fractional coordinates of all 12 atoms:
Tb (0.000, 0.000, 0.000)
Pm (0.500, 0.489, 0.759)
Pm (0.500, 0.511, 0.241)
Pu (0.000, 0.000, 0.500)
O (0.039, 0.244, 0.729)
O (0.050, 0.219, 0.285)
O (0.429, 0.783, 0.497)
O (0.493, 0.752, 0.990)
O (0.507, 0.248, 0.010)
O (0.571, 0.217, 0.503)
O (0.950, 0.781, 0.715)
O (0.961, 0.756, 0.271)

- Symmetry: P-1
- E_form (uncorrected): -3.019 eV per atom

***

| no. | size of the total moment (μB/f.u.) | energy (eV/atom) |
| --- | --- | --- |
| 1 | 0.00 | -7.65 |
| 2 | 0.99 | -8.70 |